An optimized crystal structure of K3TaMn. Source: the Alexandria database, functional PBE-GGA.

a = 6.306 Å, b = 6.306 Å, c = 6.306 Å
α = 90.00°, β = 90.00°, γ = 90.00°
Sites, in units of the cell vectors:
K (0.000, 0.000, 0.500)
K (0.000, 0.500, 0.000)
K (0.500, 0.000, 0.000)
Ta (0.500, 0.500, 0.500)
Mn (0.000, 0.000, 0.000)

## Properties
Calculated formation energy   1888 meV/atom
E   -2.975 eV per atom
Size of the total moment   0.06 μB per cell
Space-group type   Pm-3m (221)